The following is a DFT calculation (GGA-PBEsol) of an optimized crystal structure of CuPtRh2.

Calculated values
Energy of formation in eV/atom: -0.004
Distance to the lowest polymorph of the same formula in eV per atom: 0.022
DFT total energy in eV per formula unit: -27.590
Space-group type: Pmm2, No. 25

abc: 2.6913 3.7447 5.3294
angles: 90.00 90.00 90.00
Last column: nearest neighbours and their distance in Å.
Element x y z (fractional)
Cu (0.0000, 0.0000, 0.0000)  6 Rh 2.61-2.72, 4 Pt 2.65, 2 Cu 2.69
Pt (0.5000, 0.5000, 0.2439)  6 Rh 2.64-2.71, 4 Cu 2.65, 2 Pt 2.69
Rh (0.0000, 0.0000, 0.5098)  2 Cu 2.61-2.72, 6 Rh 2.63-2.69, 4 Pt 2.71
Rh (0.5000, 0.5000, 0.7483)  6 Rh 2.63-2.69, 2 Pt 2.64-2.69, 4 Cu 2.67

The following is a DFT calculation (GGA-PBEsol) of an optimized crystal structure of Cu2PtRh.

Calculated values
Energy of formation in eV/atom: 0.000
Distance to the lowest polymorph of the same formula in eV per atom: 0.043
DFT total energy in eV per formula unit: -23.772
Space-group type: P4mm, No. 99

abc: 2.6885 2.6885 7.0974
angles: 90.00 90.00 90.00
Last column: nearest neighbours and their distance in Å.
Element x y z (fractional)
Cu (0.0000, 0.0000, 0.0000)  8 Cu 2.48-2.69, 4 Rh 2.59
Cu (0.5000, 0.5000, 0.2243)  8 Cu 2.48-2.69, 4 Pt 2.63
Pt (0.0000, 0.0000, 0.4809)  4 Cu 2.63, 4 Pt 2.69, 4 Rh 2.71
Rh (0.5000, 0.5000, 0.7523)  4 Cu 2.59, 4 Rh 2.69, 4 Pt 2.71